[1]
VASP calculation (PBE-GGA) on crystalline Sm2Dy5Tl at its relaxed geometry.

Cell and atoms, written as POSCAR:
```
Sm2Dy5Tl
1.0
-1.709 4.576 0.904
-2.329 -2.113 6.291
12.383 3.488 5.757
Tl Dy Sm
2 10 4
direct
0.000 0.000 0.500
0.000 0.500 0.000
0.500 0.256 0.375
0.000 0.496 0.757
0.500 0.756 0.125
0.000 0.504 0.243
0.000 0.000 0.000
0.000 0.004 0.257
0.000 0.500 0.500
0.500 0.244 0.875
0.500 0.744 0.625
0.000 0.996 0.743
0.500 0.745 0.373
0.500 0.255 0.627
0.500 0.245 0.127
0.500 0.755 0.873
```

Output
Relative energy among the computed polymorphs in meV per atom: 0
SG: Pbam, No. 55



[2]
VASP calculation (PBE-GGA) on crystalline SrMoPt at its relaxed geometry.

Cell and atoms, written as POSCAR:
```
SrMoPt
1.0
-2.848 -4.602 3.160
-0.267 -6.215 -0.759
3.105 5.393 0.739
Pt Sr Mo
1 1 1
direct
0.375 0.375 0.000
0.672 0.672 0.000
0.953 0.953 0.000
```

Output
Relative energy among the computed polymorphs in meV per atom: 314
SG: Imm2, No. 44



[3]
VASP calculation (PBE-GGA) on crystalline ReHg2Te at its relaxed geometry.

Cell and atoms, written as POSCAR:
```
ReHg2Te
1.0
-5.055 1.268 -2.645
-4.766 -3.258 0.908
4.176 2.686 3.082
Hg Re Te
2 1 1
direct
0.000 0.000 0.000
0.500 0.500 0.000
0.250 0.750 0.500
0.750 0.250 0.500
```

Output
Relative energy among the computed polymorphs in meV per atom: 601
SG: I4/mmm, No. 139